Density functional theory data (GGA-PBE) for a relaxed Ho3SnS6 crystal.

Its symmetry is No. 36. The energy comes out at -5.8513 eV per atom. The calculation puts the volume at 469 Å³/cell. The value obtained for the formation energy from raw total energies is -1601 meV/atom.

Cell and atoms, written as extended XYZ:
```
20
Lattice="5.304 -6.623 0.000 5.304 6.623 0.000 0.000 0.000 6.681" Properties=species:S:1:pos:R:3 pbc="T T T"
Ho 5.304 5.359 3.340
Ho 3.315 1.353 2.671
Ho 3.315 -1.353 6.012
Ho 7.294 1.353 2.671
Ho 7.294 -1.353 6.012
Ho 5.304 -5.359 0.000
Sn 5.304 2.294 5.944
Sn 5.304 -2.294 2.603
S 3.537 3.513 4.591
S 1.748 0.410 4.702
S 1.748 -0.410 1.362
S 5.304 3.052 1.724
S 7.071 3.513 4.591
S 5.304 0.118 4.237
S 5.304 -0.118 0.897
S 3.537 -3.513 1.251
S 5.304 -3.052 5.064
S 8.860 0.410 4.702
S 8.860 -0.410 1.362
S 7.071 -3.513 1.251
```